The following is a GGA-PBE calculation of a relaxed La2Ni4HgSb3 crystal, from Alexandria via LeMat-Bulk.

Unit cell a=4.4918 b=4.4918 c=10.1399 alpha=90.00 beta=90.00 gamma=90.00
Element x y z (fractional)
1 La 0.0000 0.5000 0.7638
2 Ni 0.0000 0.5000 0.3722
3 Hg 0.5000 0.5000 0.5000
4 Ni 0.5000 0.0000 0.6278
5 Ni 0.0000 0.0000 0.0000
6 Sb 0.0000 0.0000 0.5000
7 La 0.5000 0.0000 0.2362
8 Sb 0.0000 0.5000 0.1263
9 Sb 0.5000 0.0000 0.8737
10 Ni 0.5000 0.5000 0.0000

Computed properties:
As for the formation energy without anion corrections: -0.6151 eV/atom. As for the volume: 20.459 Å³/atom.